VASP calculation (GGA-PBE) on Sr4Pt3 after structural relaxation.

Lattice parameters (Å, degrees): 5.8565 5.8565 6.3071 90.00 90.00 120.00
With the nearest neighbours (Å) after each atom.
Sites, in units of the cell vectors:
Pt1 0.0000 0.5000 0.0000  4 Pt 2.93, 4 Sr 3.26
Sr1 0.0000 0.0000 0.2254  1 Sr 2.84
Sr2 0.3333 0.6667 0.5000  3 Sr 3.38, 6 Pt 3.58
Pt2 0.5000 0.0000 0.0000  4 Pt 2.93, 4 Sr 3.26
Sr3 0.6667 0.3333 0.5000  3 Sr 3.38, 6 Pt 3.58
Pt3 0.5000 0.5000 0.0000  4 Pt 2.93, 4 Sr 3.26
Sr4 0.0000 0.0000 0.7746  1 Sr 2.84

Summary:
The space-group type is No. 191. The calculated volume comes out at 26.76 Å³ per atom. The energy relative to the elements is -0.304 eV/atom.